Crystalline Na2FeRh2O6 at its relaxed geometry, computed with GGA+U.

Properties
DOS at the Fermi energy = 0.078 states/eV per atom
SG = No. 12
E = -64.45 eV per cell

a = 5.164 Å, b = 5.164 Å, c = 5.711 Å
α = 98.79°, β = 98.79°, γ = 117.31°
Each line ends with the local moment (μB).
Element x y z (fractional)
O1 0.614 0.946 0.315  0.00
O2 0.386 0.054 0.685  0.00
O3 0.946 0.614 0.315  0.00
Na1 0.175 0.825 0.000  0.00
Rh1 0.659 0.341 0.500  0.36
O4 0.758 0.758 0.701  0.05
O5 0.242 0.242 0.299  0.05
Rh2 0.341 0.659 0.500  0.36
O6 0.054 0.386 0.685  0.00
Na2 0.825 0.175 0.000  0.00
Fe1 0.000 0.000 0.500  1.15